[1]
LaLuSiPd | Alexandria | PBE | relaxed; formation energy (no corrections) = -0.670 eV/atom; space-group type = F-43m (216); DOS(E_F) = 0.388 states/eV per atom
1.0
0.0000 3.5841 3.5841
3.5841 0.0000 3.5841
3.5841 3.5841 0.0000
La Lu Si Pd
1 1 1 1
Direct
0.0000 0.0000 0.0000
0.5000 0.5000 0.5000
0.2500 0.2500 0.2500
0.7500 0.7500 0.7500

[2]
CuPt2W | Alexandria | PBE | relaxed; relative energy among the computed polymorphs = 0.1358 eV/atom; space-group type = R-3m (166); DOS(E_F) = 0.706 states/eV per atom; DFT formation energy = -0.132 eV per atom
1.0
1.3975 0.8068 8.8418
-1.3975 0.8068 8.8418
0.0000 -1.6137 8.8418
Cu Pt W
1 2 1
Direct
0.0000 0.0000 0.0000
0.2519 0.2519 0.2519
0.7481 0.7481 0.7481
0.5000 0.5000 0.5000

no.,V (Å³ per cell)
1,92.1
2,59.8